Here is an optimized crystal structure of LiTl2Rh from Alexandria. Energies are from GGA-PBEsol.

Unit cell a=3.9719 b=3.9719 c=5.3856 alpha=111.64 beta=111.64 gamma=90.00
Closest atoms and distances in Å follow each position.
Fractional positions:
Tl 0.0000 0.0000 0.0000  4 Li 2.81, 4 Tl 3.04, 4 Rh 3.04
Li 0.5000 0.5000 0.0000  8 Tl 2.81-3.04, 4 Rh 3.04
Rh 0.2500 0.7500 0.5000  8 Tl 2.81-3.04, 4 Li 3.04
Tl 0.7500 0.2500 0.5000  4 Rh 2.81, 4 Tl 3.04, 4 Li 3.04

Output
ρ = 11.88 g cm⁻³
SG = I-4m2, No. 119
Calculated formation energy = -0.218 eV per formula unit

Here is an optimized crystal structure of LiTl2Rh from Alexandria. Energies are from GGA-PBEsol.

Unit cell a=4.6660 b=4.6660 c=4.6660 alpha=60.00 beta=60.00 gamma=60.00
Closest atoms and distances in Å follow each position.
Fractional positions:
Rh 0.0000 0.0000 0.0000  8 Tl 2.86
Li 0.5000 0.5000 0.5000  8 Tl 2.86
Tl 0.7500 0.7500 0.7500  4 Li 2.86, 4 Rh 2.86
Tl 0.2500 0.2500 0.2500  4 Li 2.86, 4 Rh 2.86

Output
ρ = 11.99 g cm⁻³
SG = Fm-3m, No. 225
Calculated formation energy = -0.584 eV per formula unit

Here is an optimized crystal structure of LiTlRh from Alexandria. Energies are from GGA-PBEsol.

Unit cell a=3.0672 b=3.7324 c=4.8457 alpha=112.65 beta=108.45 gamma=90.00
Closest atoms and distances in Å follow each position.
Fractional positions:
Rh 0.6621 0.6621 0.3241  5 Li 2.74-2.91, 5 Tl 2.79-2.80
Li 0.0085 0.0085 0.0170  5 Tl 2.70-2.85, 5 Rh 2.74-2.91
Tl 0.3294 0.3294 0.6589  5 Li 2.70-2.85, 5 Rh 2.79-2.80

Output
ρ = 10.85 g cm⁻³
SG = Imm2, No. 44
Calculated formation energy = -0.299 eV per formula unit

Here is an optimized crystal structure of LiTlRh from Alexandria. Energies are from GGA-PBEsol.

Unit cell a=4.3551 b=4.3551 c=4.3551 alpha=60.00 beta=60.00 gamma=60.00
Closest atoms and distances in Å follow each position.
Fractional positions:
Rh 0.5000 0.5000 0.5000  4 Tl 2.67
Tl 0.7500 0.7500 0.7500  4 Li 2.67, 4 Rh 2.67
Li 0.0000 0.0000 0.0000  4 Tl 2.67

Output
ρ = 8.93 g cm⁻³
SG = F-43m, No. 216
Calculated formation energy = 0.543 eV per formula unit

Here is an optimized crystal structure of LiTl2Rh2 from Alexandria. Energies are from GGA-PBEsol.

Unit cell a=3.1089 b=7.6708 c=7.6708 alpha=90.00 beta=90.00 gamma=90.00
Closest atoms and distances in Å follow each position.
Fractional positions:
Li 0.0000 0.0000 0.0000  4 Tl 2.88, 2 Li 3.11
Rh 0.5000 0.3626 0.1374  6 Tl 2.69-2.77, 1 Rh 2.98
Rh 0.5000 0.6374 0.8626  6 Tl 2.69-2.77, 1 Rh 2.98
Tl 0.0000 0.8400 0.6600  6 Rh 2.69-2.77, 2 Li 2.88
Rh 0.5000 0.8626 0.3626  6 Tl 2.69-2.77, 1 Rh 2.98
Tl 0.0000 0.6600 0.1600  6 Rh 2.69-2.77, 2 Li 2.88
Li 0.0000 0.5000 0.5000  4 Tl 2.88, 2 Li 3.11
Rh 0.5000 0.1374 0.6374  6 Tl 2.69-2.77, 1 Rh 2.98
Tl 0.0000 0.3400 0.8400  6 Rh 2.69-2.77, 2 Li 2.88
Tl 0.0000 0.1600 0.3400  6 Rh 2.69-2.77, 2 Li 2.88

Output
ρ = 11.28 g cm⁻³
SG = P4/mbm, No. 127
Calculated formation energy = -0.064 eV per formula unit

Here is an optimized crystal structure of LiTl2Rh from Alexandria. Energies are from GGA-PBEsol.

Unit cell a=3.3274 b=3.3274 c=6.7713 alpha=90.00 beta=90.00 gamma=90.00
Closest atoms and distances in Å follow each position.
Fractional positions:
Tl 0.0000 0.0000 0.9450  1 Li 2.76, 4 Rh 2.81
Li 0.0000 0.0000 0.5380  4 Rh 2.65, 5 Tl 2.76-2.86
Tl 0.5000 0.5000 0.2984  1 Rh 2.85, 4 Li 2.86
Rh 0.5000 0.5000 0.7186  4 Li 2.65, 5 Tl 2.81-2.85

Output
ρ = 11.49 g cm⁻³
SG = P4mm, No. 99
Calculated formation energy = -0.075 eV per formula unit

Here is an optimized crystal structure of LiTlRh from Alexandria. Energies are from GGA-PBEsol.

Unit cell a=3.2557 b=3.2557 c=5.0031 alpha=108.99 beta=108.99 gamma=90.00
Closest atoms and distances in Å follow each position.
Fractional positions:
Tl 0.3326 0.3326 0.6653  5 Rh 2.80-2.86, 5 Li 2.81-2.84
Rh 0.6542 0.6542 0.3083  4 Li 2.62, 5 Tl 2.80-2.86
Li 0.0132 0.0132 0.0264  4 Rh 2.62, 5 Tl 2.81-2.84

Output
ρ = 11.08 g cm⁻³
SG = I4mm, No. 107
Calculated formation energy = -0.321 eV per formula unit

Here is an optimized crystal structure of LiTl2Rh from Alexandria. Energies are from GGA-PBEsol.

Unit cell a=3.1861 b=3.6483 c=6.2662 alpha=90.00 beta=90.00 gamma=90.00
Closest atoms and distances in Å follow each position.
Fractional positions:
Rh 0.5000 0.5000 0.5000  8 Tl 2.86, 2 Li 3.13, 2 Rh 3.19
Tl 0.0000 0.0000 0.2563  4 Rh 2.86, 4 Li 2.91, 3 Tl 3.05-3.19
Li 0.5000 0.5000 0.0000  8 Tl 2.91, 2 Rh 3.13, 2 Li 3.19
Tl 0.0000 0.0000 0.7437  4 Rh 2.86, 4 Li 2.91, 3 Tl 3.05-3.19

Output
ρ = 11.82 g cm⁻³
SG = Pmmm, No. 47
Calculated formation energy = -0.401 eV per formula unit